# FeP2O

A geometry-optimized FeP2O structure (GGA+U, the Alexandria database).

```
data_FeP2O
_chemical_formula_sum 'Fe1 P2 O1'
_symmetry_space_group_name_H-M 'P 1'
_symmetry_Int_Tables_number 1
_symmetry_space_group_name_Hall 'P 1'
_cell_length_a 4.341
_cell_length_b 4.341
_cell_length_c 6.366
_cell_angle_alpha 106.92
_cell_angle_beta 106.92
_cell_angle_gamma 38.51
loop_
_atom_site_label
_atom_site_fract_x
_atom_site_fract_y
_atom_site_fract_z
Fe1 0.000 0.000 0.000
P1 0.728 0.728 0.499
P2 0.766 0.766 0.167
O1 0.906 0.906 0.684
```

## Properties
- DOS at the Fermi energy: 0.4 states/eV/f.u.
- Volume: 71.1 Å³/f.u.
- E_tot: -5.7124 eV/atom